# 1
# InHg | the Alexandria database | PBEsol | relaxed
# Fermi-level density of states   1.75 states/eV per cell
# Mass density   10.86 g/cm3
# Crystal system   trigonal
# Calculated volume   24.12 A^3/atom
# E   -1.77 eV per atom
# Calculated formation energy   0.1 kcal/mol of atoms
data_InHg
_cell_length_a 3.281
_cell_length_b 3.281
_cell_length_c 10.347
_cell_angle_alpha 90.00
_cell_angle_beta 90.00
_cell_angle_gamma 120.00
_symmetry_space_group_name_H-M 'P 1'
_symmetry_Int_Tables_number 1
loop_
_symmetry_equiv_pos_as_xyz
'x,y,z'
loop_
_atom_site_label
_atom_site_fract_x
_atom_site_fract_y
_atom_site_fract_z
In1 0.333 0.667 0.133
In2 0.667 0.333 0.867
Hg1 0.333 0.667 0.620
Hg2 0.667 0.333 0.380


# 2
# InHgIr3 | the Alexandria database | PBEsol | relaxed
# Fermi-level density of states   8.26 states/eV per cell
# Mass density   12.99 g/cm3
# Crystal system   cubic
# Calculated volume   22.81 A^3/atom
# E   -4.36 eV per atom
# Calculated formation energy   51.8 kcal/mol of atoms
data_InHgIr3
_cell_length_a 4.849
_cell_length_b 4.849
_cell_length_c 4.849
_cell_angle_alpha 90.00
_cell_angle_beta 90.00
_cell_angle_gamma 90.00
_symmetry_space_group_name_H-M 'P 1'
_symmetry_Int_Tables_number 1
loop_
_symmetry_equiv_pos_as_xyz
'x,y,z'
loop_
_atom_site_label
_atom_site_fract_x
_atom_site_fract_y
_atom_site_fract_z
In1 0.000 0.000 0.000
Hg1 0.500 0.500 0.500
Ir1 0.000 0.500 0.500
Ir2 0.500 0.000 0.500
Ir3 0.500 0.500 0.000


# 3
# In2HgIr | the Alexandria database | PBEsol | relaxed
# Fermi-level density of states   1.68 states/eV per cell
# Mass density   13.54 g/cm3
# Crystal system   tetragonal
# Calculated volume   19.08 A^3/atom
# E   -3.92 eV per atom
# Calculated formation energy   3.8 kcal/mol of atoms
data_In2HgIr
_cell_length_a 4.989
_cell_length_b 4.989
_cell_length_c 3.066
_cell_angle_alpha 90.00
_cell_angle_beta 90.00
_cell_angle_gamma 90.00
_symmetry_space_group_name_H-M 'P 1'
_symmetry_Int_Tables_number 1
loop_
_symmetry_equiv_pos_as_xyz
'x,y,z'
loop_
_atom_site_label
_atom_site_fract_x
_atom_site_fract_y
_atom_site_fract_z
In1 0.000 0.500 0.000
In2 0.500 0.000 0.000
Hg1 0.000 0.000 0.500
Ir1 0.500 0.500 0.500


# 4
# InHg2Ir | the Alexandria database | PBEsol | relaxed
# Fermi-level density of states   1.95 states/eV per cell
# Mass density   15.29 g/cm3
# Crystal system   monoclinic
# Calculated volume   19.23 A^3/atom
# E   -3.22 eV per atom
# Calculated formation energy   6.1 kcal/mol of atoms
data_InHg2Ir
_cell_length_a 3.062
_cell_length_b 5.225
_cell_length_c 4.808
_cell_angle_alpha 90.00
_cell_angle_beta 91.55
_cell_angle_gamma 90.00
_symmetry_space_group_name_H-M 'P 1'
_symmetry_Int_Tables_number 1
loop_
_symmetry_equiv_pos_as_xyz
'x,y,z'
loop_
_atom_site_label
_atom_site_fract_x
_atom_site_fract_y
_atom_site_fract_z
In1 0.000 0.000 0.000
Hg1 0.256 0.500 0.255
Hg2 0.744 0.500 0.745
Ir1 0.500 0.000 0.500


# 5
# In3HgIr | the Alexandria database | PBEsol | relaxed
# Fermi-level density of states   1.37 states/eV per cell
# Mass density   9.12 g/cm3
# Crystal system   cubic
# Calculated volume   26.84 A^3/atom
# E   -3.95 eV per atom
# Calculated formation energy   -1.8 kcal/mol of atoms
data_In3HgIr
_cell_length_a 5.120
_cell_length_b 5.120
_cell_length_c 5.120
_cell_angle_alpha 90.00
_cell_angle_beta 90.00
_cell_angle_gamma 90.00
_symmetry_space_group_name_H-M 'P 1'
_symmetry_Int_Tables_number 1
loop_
_symmetry_equiv_pos_as_xyz
'x,y,z'
loop_
_atom_site_label
_atom_site_fract_x
_atom_site_fract_y
_atom_site_fract_z
In1 0.000 0.000 0.500
In2 0.000 0.500 0.000
In3 0.500 0.000 0.000
Hg1 0.500 0.500 0.500
Ir1 0.000 0.000 0.000


# 6
# InHgIr2 | the Alexandria database | PBEsol | relaxed
# Energy above the lowest structure with this stoichiometry   0.00 kcal/mol of atoms
# Fermi-level density of states   5.33 states/eV per cell
# Mass density   16.64 g/cm3
# Crystal system   tetragonal
# Calculated volume   17.46 A^3/atom
# E   -5.51 eV per atom
# Calculated formation energy   6.8 kcal/mol of atoms
data_InHgIr2
_cell_length_a 2.879
_cell_length_b 2.879
_cell_length_c 8.424
_cell_angle_alpha 90.00
_cell_angle_beta 90.00
_cell_angle_gamma 90.00
_symmetry_space_group_name_H-M 'P 1'
_symmetry_Int_Tables_number 1
loop_
_symmetry_equiv_pos_as_xyz
'x,y,z'
loop_
_atom_site_label
_atom_site_fract_x
_atom_site_fract_y
_atom_site_fract_z
In1 0.000 0.000 0.000
Hg1 0.500 0.500 0.692
Ir1 0.000 0.000 0.443
Ir2 0.500 0.500 0.239


# 7
# InHgIr2 | the Alexandria database | PBEsol | relaxed
# Energy above the lowest structure with this stoichiometry   2.27 kcal/mol of atoms
# Fermi-level density of states   9.68 states/eV per cell
# Mass density   17.38 g/cm3
# Crystal system   tetragonal
# Calculated volume   16.72 A^3/atom
# E   -5.41 eV per atom
# Calculated formation energy   9.0 kcal/mol of atoms
data_InHgIr2
_cell_length_a 4.054
_cell_length_b 4.054
_cell_length_c 8.139
_cell_angle_alpha 90.00
_cell_angle_beta 90.00
_cell_angle_gamma 90.00
_symmetry_space_group_name_H-M 'P 1'
_symmetry_Int_Tables_number 1
loop_
_symmetry_equiv_pos_as_xyz
'x,y,z'
loop_
_atom_site_label
_atom_site_fract_x
_atom_site_fract_y
_atom_site_fract_z
In1 0.000 0.000 0.000
In2 0.500 0.500 0.500
Hg1 0.000 0.500 0.750
Hg2 0.500 0.000 0.250
Ir1 0.000 0.000 0.500
Ir2 0.000 0.500 0.250
Ir3 0.500 0.000 0.750
Ir4 0.500 0.500 0.000


# 8
# InHg2Ir | the Alexandria database | PBEsol | relaxed
# Fermi-level density of states   2.33 states/eV per cell
# Mass density   15.88 g/cm3
# Crystal system   tetragonal
# Calculated volume   18.52 A^3/atom
# E   -3.18 eV per atom
# Calculated formation energy   6.9 kcal/mol of atoms
data_InHg2Ir
_cell_length_a 4.127
_cell_length_b 4.127
_cell_length_c 4.350
_cell_angle_alpha 90.00
_cell_angle_beta 90.00
_cell_angle_gamma 90.00
_symmetry_space_group_name_H-M 'P 1'
_symmetry_Int_Tables_number 1
loop_
_symmetry_equiv_pos_as_xyz
'x,y,z'
loop_
_atom_site_label
_atom_site_fract_x
_atom_site_fract_y
_atom_site_fract_z
In1 0.000 0.000 0.000
Hg1 0.000 0.500 0.500
Hg2 0.500 0.000 0.500
Ir1 0.500 0.500 0.000


# 9
# In2HgIr | the Alexandria database | PBEsol | relaxed
# Fermi-level density of states   7.42 states/eV per cell
# Mass density   13.34 g/cm3
# Crystal system   cubic
# Calculated volume   19.37 A^3/atom
# E   -3.75 eV per atom
# Calculated formation energy   7.8 kcal/mol of atoms
data_In2HgIr
_cell_length_a 6.767
_cell_length_b 6.767
_cell_length_c 6.767
_cell_angle_alpha 90.00
_cell_angle_beta 90.00
_cell_angle_gamma 90.00
_symmetry_space_group_name_H-M 'P 1'
_symmetry_Int_Tables_number 1
loop_
_symmetry_equiv_pos_as_xyz
'x,y,z'
loop_
_atom_site_label
_atom_site_fract_x
_atom_site_fract_y
_atom_site_fract_z
In1 0.000 0.000 0.000
In2 0.000 0.500 0.500
In3 0.250 0.250 0.250
In4 0.250 0.750 0.750
In5 0.500 0.000 0.500
In6 0.500 0.500 0.000
In7 0.750 0.250 0.750
In8 0.750 0.750 0.250
Hg1 0.250 0.250 0.750
Hg2 0.250 0.750 0.250
Hg3 0.750 0.250 0.250
Hg4 0.750 0.750 0.750
Ir1 0.000 0.000 0.500
Ir2 0.000 0.500 0.000
Ir3 0.500 0.000 0.000
Ir4 0.500 0.500 0.500


# 10
# KInHg2 | the Alexandria database | PBEsol | relaxed
# Fermi-level density of states   3.53 states/eV per cell
# Mass density   8.16 g/cm3
# Crystal system   monoclinic
# Calculated volume   28.23 A^3/atom
# E   -1.44 eV per atom
# Calculated formation energy   -2.9 kcal/mol of atoms
data_KInHg2
_cell_length_a 9.586
_cell_length_b 3.317
_cell_length_c 7.156
_cell_angle_alpha 90.00
_cell_angle_beta 96.97
_cell_angle_gamma 90.00
_symmetry_space_group_name_H-M 'P 1'
_symmetry_Int_Tables_number 1
loop_
_symmetry_equiv_pos_as_xyz
'x,y,z'
loop_
_atom_site_label
_atom_site_fract_x
_atom_site_fract_y
_atom_site_fract_z
K1 0.000 0.000 0.000
K2 0.500 0.500 0.000
In1 0.000 0.500 0.500
In2 0.500 0.000 0.500
Hg1 0.246 0.000 0.707
Hg2 0.254 0.500 0.293
Hg3 0.746 0.500 0.707
Hg4 0.754 0.000 0.293


# 11
# KIn2Hg | the Alexandria database | PBEsol | relaxed
# Fermi-level density of states   1.45 states/eV per cell
# Mass density   6.91 g/cm3
# Crystal system   orthorhombic
# Calculated volume   28.18 A^3/atom
# E   -2.03 eV per atom
# Calculated formation energy   -2.6 kcal/mol of atoms
data_KIn2Hg
_cell_length_a 3.524
_cell_length_b 3.759
_cell_length_c 8.509
_cell_angle_alpha 90.00
_cell_angle_beta 90.00
_cell_angle_gamma 90.00
_symmetry_space_group_name_H-M 'P 1'
_symmetry_Int_Tables_number 1
loop_
_symmetry_equiv_pos_as_xyz
'x,y,z'
loop_
_atom_site_label
_atom_site_fract_x
_atom_site_fract_y
_atom_site_fract_z
K1 0.000 0.000 0.000
In1 0.000 0.000 0.479
In2 0.500 0.500 0.694
Hg1 0.500 0.500 0.271


# 12
# K2InHg | the Alexandria database | PBEsol | relaxed
# Energy above the lowest structure with this stoichiometry   3.63 kcal/mol of atoms
# Fermi-level density of states   7.47 states/eV per cell
# Mass density   4.70 g/cm3
# Crystal system   trigonal
# Calculated volume   34.76 A^3/atom
# E   -1.41 eV per atom
# Calculated formation energy   1.1 kcal/mol of atoms
data_K2InHg
_cell_length_a 3.765
_cell_length_b 3.765
_cell_length_c 33.973
_cell_angle_alpha 90.00
_cell_angle_beta 90.00
_cell_angle_gamma 120.00
_symmetry_space_group_name_H-M 'P 1'
_symmetry_Int_Tables_number 1
loop_
_symmetry_equiv_pos_as_xyz
'x,y,z'
loop_
_atom_site_label
_atom_site_fract_x
_atom_site_fract_y
_atom_site_fract_z
K1 0.000 0.000 0.247
K2 0.000 0.000 0.753
K3 0.333 0.667 0.419
K4 0.333 0.667 0.914
K5 0.667 0.333 0.086
K6 0.667 0.333 0.581
In1 0.000 0.000 0.000
In2 0.333 0.667 0.667
In3 0.667 0.333 0.333
Hg1 0.000 0.000 0.500
Hg2 0.333 0.667 0.167
Hg3 0.667 0.333 0.833


Please write out number 9 again, unchanged.
# In2HgIr | the Alexandria database | PBEsol | relaxed
# Fermi-level density of states   7.42 states/eV per cell
# Mass density   13.34 g/cm3
# Crystal system   cubic
# Calculated volume   19.37 A^3/atom
# E   -3.75 eV per atom
# Calculated formation energy   7.8 kcal/mol of atoms
data_In2HgIr
_cell_length_a 6.767
_cell_length_b 6.767
_cell_length_c 6.767
_cell_angle_alpha 90.00
_cell_angle_beta 90.00
_cell_angle_gamma 90.00
_symmetry_space_group_name_H-M 'P 1'
_symmetry_Int_Tables_number 1
loop_
_symmetry_equiv_pos_as_xyz
'x,y,z'
loop_
_atom_site_label
_atom_site_fract_x
_atom_site_fract_y
_atom_site_fract_z
In1 0.000 0.000 0.000
In2 0.000 0.500 0.500
In3 0.250 0.250 0.250
In4 0.250 0.750 0.750
In5 0.500 0.000 0.500
In6 0.500 0.500 0.000
In7 0.750 0.250 0.750
In8 0.750 0.750 0.250
Hg1 0.250 0.250 0.750
Hg2 0.250 0.750 0.250
Hg3 0.750 0.250 0.250
Hg4 0.750 0.750 0.750
Ir1 0.000 0.000 0.500
Ir2 0.000 0.500 0.000
Ir3 0.500 0.000 0.000
Ir4 0.500 0.500 0.500


Please write out number 10 again, unchanged.
# KInHg2 | the Alexandria database | PBEsol | relaxed
# Fermi-level density of states   3.53 states/eV per cell
# Mass density   8.16 g/cm3
# Crystal system   monoclinic
# Calculated volume   28.23 A^3/atom
# E   -1.44 eV per atom
# Calculated formation energy   -2.9 kcal/mol of atoms
data_KInHg2
_cell_length_a 9.586
_cell_length_b 3.317
_cell_length_c 7.156
_cell_angle_alpha 90.00
_cell_angle_beta 96.97
_cell_angle_gamma 90.00
_symmetry_space_group_name_H-M 'P 1'
_symmetry_Int_Tables_number 1
loop_
_symmetry_equiv_pos_as_xyz
'x,y,z'
loop_
_atom_site_label
_atom_site_fract_x
_atom_site_fract_y
_atom_site_fract_z
K1 0.000 0.000 0.000
K2 0.500 0.500 0.000
In1 0.000 0.500 0.500
In2 0.500 0.000 0.500
Hg1 0.246 0.000 0.707
Hg2 0.254 0.500 0.293
Hg3 0.746 0.500 0.707
Hg4 0.754 0.000 0.293